Sc2ZnCl: optimized geometry, PBE-GGA.

Output
E, eV per atom: -4.517
E_form (uncorrected), meV per atom: -571
Distance to the lowest polymorph of the same formula, eV per atom: 0.154
Magnetic moment, μB/f.u.: 0.00

The structure in CIF format:
```
data_Sc2ZnCl
_chemical_formula_sum 'Sc6 Zn3 Cl3'
_cell_length_a 3.4490
_cell_length_b 3.4490
_cell_length_c 26.8781
_cell_angle_alpha 90.00
_cell_angle_beta 90.00
_cell_angle_gamma 120.00
_space_group_name_H-M_alt 'R -3 m'
_space_group_IT_number 166
_space_group_name_Hall '-R 3 2"'
loop_
_atom_site_label
_atom_site_type_symbol
_atom_site_fract_x
_atom_site_fract_y
_atom_site_fract_z
_atom_site_occupancy
Sc1 Sc 0.0000 0.0000 0.0914 1
Zn1 Zn 0.0000 0.0000 0.5000 1
Cl1 Cl 0.0000 0.0000 0.0000 1
```